1.
DFT (PBE-GGA) results for a relaxed NbPOs3 crystal.

Cell lengths 4.3493, 4.3493, 4.3493 Å; angles 90.00, 90.00, 90.00 degrees
Each line ends with the local moment (μB).
Positions (direct):
Os: 0.5000 0.0000 0.0000  -0.05
Nb: 0.5000 0.5000 0.5000  0.68
Os: 0.0000 0.5000 0.0000  -0.04
Os: 0.0000 0.0000 0.5000  0.01
P: 0.0000 0.0000 0.0000  0.04

Output
**Energy relative to the lowest polymorph listed for this composition**: 0.000 eV per atom
**E_tot**: -9.122 eV per atom
**Energy relative to the elements**: 711 meV/atom

2.
DFT (PBE-GGA) results for a relaxed Er2GaSi3Rh4 crystal.

Cell lengths 4.1274, 4.1274, 9.8459 Å; angles 90.00, 90.00, 90.00 degrees
Positions (direct):
Rh: 0.0000 0.0000 0.0000
Ga: 0.5000 0.5000 0.5000
Si: 0.0000 0.0000 0.5000
Si: 0.5000 0.0000 0.8721
Rh: 0.5000 0.0000 0.6362
Rh: 0.0000 0.5000 0.3638
Si: 0.0000 0.5000 0.1279
Er: 0.5000 0.0000 0.2517
Rh: 0.5000 0.5000 0.0000
Er: 0.0000 0.5000 0.7483

Output
**E_tot**: -6.791 eV per atom
**Raw formation energy**: -1008 meV per atom

3.
DFT (PBE-GGA) results for a relaxed ScNb2Zn6 crystal.

Cell lengths 3.0194, 7.4584, 7.4584 Å; angles 120.00, 90.00, 90.00 degrees
Positions (direct):
Zn: 0.5000 0.3357 0.3357
Zn: 0.5000 0.3357 0.0000
Zn: 0.5000 0.6643 0.6643
Nb: 0.0000 0.6667 0.3333
Zn: 0.5000 0.0000 0.3357
Zn: 0.5000 0.0000 0.6643
Nb: 0.0000 0.3333 0.6667
Sc: 0.0000 0.0000 0.0000
Zn: 0.5000 0.6643 0.0000

Output
**E_tot**: -3.924 eV per atom
**Energy relative to the elements**: -133 meV/atom

4.
DFT (PBE-GGA) results for a relaxed Cr2InNi crystal.

Cell lengths 8.7777, 8.7777, 8.7777 Å; angles 17.98, 17.98, 17.98 degrees
Each line ends with the local moment (μB).
Positions (direct):
In: 0.2500 0.2500 0.2500  -0.01
Cr: 0.0080 0.0080 0.0080  0.34
Cr: 0.4920 0.4920 0.4920  0.34
Ni: 0.7500 0.7500 0.7500  0.05

Output
**E_tot**: -6.305 eV per atom
**Energy relative to the elements**: 636 meV/atom

5.
DFT (PBE-GGA) results for a relaxed Sn2SbS4 crystal.

Cell lengths 3.9519, 3.9520, 13.2369 Å; angles 81.38, 81.38, 60.00 degrees
Positions (direct):
Sb: 0.0000 0.0000 0.0000
Sn: 0.2397 0.2397 0.2816
S: 0.1285 0.1285 0.6146
S: 0.6261 0.6261 0.1213
S: 0.3739 0.3739 0.8787
Sn: 0.7603 0.7603 0.7184
S: 0.8715 0.8715 0.3854

Output
**Energy relative to the lowest polymorph listed for this composition**: 0.000 eV per atom
**E_tot**: -4.367 eV per atom
**Raw formation energy**: -276 meV per atom

6.
DFT (PBE-GGA) results for a relaxed PtAu2Se crystal.

Cell lengths 5.1065, 5.1065, 2.8015 Å; angles 90.00, 90.00, 90.00 degrees
Positions (direct):
Au: 0.5000 0.5000 0.0000
Pt: 0.5000 0.0000 0.5000
Au: 0.0000 0.0000 0.0000
Se: 0.0000 0.5000 0.5000

Output
**E_tot**: -3.722 eV per atom
**Raw formation energy**: 298 meV per atom